1.
Below is a relaxed Cr2GaSiO crystal, with properties calculated at the PBE+U level.

Calculated values
- energy (eV for the cell shown) = -27.57
- symmetry = No. 123

```
Cr2GaSiO
1.0
5.191 0.000 0.000
0.000 5.191 0.000
0.000 0.000 3.386
Cr Ga Si O
2 1 1 1
direct
0.000 0.500 0.000
0.500 0.000 0.000
0.000 0.000 0.500
0.500 0.500 0.000
0.500 0.500 0.500
```

---

2.
Below is a relaxed Sm2CrGaO6 crystal, with properties calculated at the PBE+U level.

Calculated values
- energy (eV for the cell shown) = -153.73
- symmetry = No. 14

```
Sm2CrGaO6
1.0
5.410 0.000 0.000
0.000 5.623 0.000
-5.408 0.000 7.743
Sm Cr Ga O
4 2 2 12
direct
0.235 0.059 0.250
0.235 0.441 0.750
0.765 0.559 0.250
0.765 0.941 0.750
0.000 0.000 0.500
0.000 0.500 0.000
0.500 0.000 0.000
0.500 0.500 0.500
0.151 0.202 0.949
0.151 0.298 0.449
0.248 0.703 0.949
0.248 0.797 0.449
0.348 0.029 0.751
0.348 0.471 0.251
0.652 0.529 0.749
0.652 0.971 0.249
0.752 0.203 0.551
0.752 0.297 0.051
0.849 0.702 0.551
0.849 0.798 0.051
```

---

3.
Below is a relaxed SmCr4Ga3O12 crystal, with properties calculated at the PBE+U level.

Calculated values
- energy (eV for the cell shown) = -143.75
- symmetry = No. 204

```
SmCr4Ga3O12
1.0
-3.746 3.746 3.746
3.746 -3.746 3.746
3.746 3.746 -3.746
Sm Cr Ga O
1 4 3 12
direct
0.000 0.000 0.000
0.000 0.000 0.500
0.000 0.500 0.000
0.500 0.000 0.000
0.500 0.500 0.500
0.000 0.500 0.500
0.500 0.000 0.500
0.500 0.500 0.000
0.135 0.308 0.826
0.174 0.482 0.308
0.174 0.865 0.692
0.308 0.174 0.482
0.308 0.826 0.135
0.482 0.308 0.174
0.518 0.692 0.826
0.692 0.174 0.865
0.692 0.826 0.518
0.826 0.135 0.308
0.826 0.518 0.692
0.865 0.692 0.174
```

---

4.
Below is a relaxed Cr2GaSnO6 crystal, with properties calculated at the PBE+U level.

Calculated values
- energy (eV for the cell shown) = -68.94
- symmetry = No. 1

```
Cr2GaSnO6
1.0
5.163 0.000 0.000
-2.555 4.623 0.000
-0.016 -2.847 4.719
Cr Ga Sn O
2 1 1 6
direct
0.000 0.000 0.000
0.495 0.985 0.476
0.704 0.415 0.105
0.207 0.417 0.612
0.062 0.457 0.275
0.300 0.194 0.795
0.404 0.208 0.284
0.604 0.891 0.786
0.803 0.882 0.283
0.918 0.531 0.820
```

---

5.
Below is a relaxed SrCr2GaO8 crystal, with properties calculated at the PBE+U level.

Calculated values
- energy (eV for the cell shown) = -79.04
- symmetry = No. 147

```
SrCr2GaO8
1.0
5.463 0.000 0.000
-2.731 4.731 0.000
0.000 0.000 6.871
Sr Cr Ga O
1 2 1 8
direct
0.000 0.000 0.000
0.333 0.667 0.756
0.667 0.333 0.244
0.000 0.000 0.500
0.157 0.322 0.683
0.165 0.843 0.683
0.322 0.165 0.317
0.333 0.667 0.996
0.667 0.333 0.004
0.678 0.835 0.683
0.835 0.157 0.317
0.843 0.678 0.317
```

---

6.
Below is a relaxed SrCr9Ga3O19 crystal, with properties calculated at the PBE+U level.

Calculated values
- energy (eV for the cell shown) = -474.32
- symmetry = No. 186

```
SrCr9Ga3O19
1.0
5.907 0.000 0.000
-2.953 5.116 0.000
0.000 0.000 23.082
Sr Cr Ga O
2 18 6 38
direct
0.333 0.667 0.000
0.667 0.333 0.500
0.000 0.000 0.251
0.000 0.000 0.751
0.168 0.336 0.859
0.168 0.337 0.143
0.168 0.832 0.143
0.168 0.832 0.859
0.333 0.667 0.442
0.333 0.667 0.560
0.336 0.168 0.359
0.337 0.168 0.643
0.663 0.832 0.143
0.664 0.832 0.859
0.667 0.333 0.060
0.667 0.333 0.942
0.832 0.168 0.359
0.832 0.168 0.643
0.832 0.663 0.643
0.832 0.664 0.359
0.000 0.000 0.005
0.000 0.000 0.505
0.333 0.667 0.279
0.333 0.667 0.724
0.667 0.333 0.224
0.667 0.333 0.779
0.000 0.000 0.099
0.000 0.000 0.402
0.000 0.000 0.599
0.000 0.000 0.902
0.015 0.507 0.903
0.015 0.508 0.100
0.157 0.314 0.698
0.157 0.315 0.304
0.157 0.843 0.304
0.157 0.843 0.698
0.182 0.363 0.501
0.182 0.818 0.501
0.314 0.157 0.198
0.315 0.157 0.804
0.333 0.667 0.196
0.333 0.667 0.806
0.363 0.182 0.001
0.492 0.508 0.100
0.492 0.985 0.100
0.493 0.507 0.903
0.493 0.985 0.903
0.507 0.015 0.403
0.507 0.493 0.403
0.508 0.015 0.600
0.508 0.492 0.600
0.637 0.818 0.501
0.667 0.333 0.306
0.667 0.333 0.696
0.685 0.843 0.304
0.686 0.843 0.698
0.818 0.182 0.001
0.818 0.637 0.001
0.843 0.157 0.198
0.843 0.157 0.804
0.843 0.685 0.804
0.843 0.686 0.198
0.985 0.492 0.600
0.985 0.493 0.403
```

---

The highest energy belongs to which entry?
Cr2GaSiO

---

Which value of energy does entry 3 give?
-143.75 eV for the cell shown

---

Which of these has the highest energy?
Cr2GaSiO

---

The lowest energy belongs to which entry?
SrCr9Ga3O19